Below is crystalline ZrTcIr at its relaxed geometry, with properties calculated at the GGA-PBE level.

Geometry as POSCAR:
```
ZrTcIr
1.0
5.659 0.000 0.021
0.000 4.185 0.000
-2.937 0.000 8.543
Ir Tc Zr
4 4 4
Direct
0.182 0.000 0.629
0.182 0.500 0.129
0.545 0.000 0.316
0.545 0.500 0.816
0.811 0.000 0.946
0.811 0.500 0.446
0.681 0.000 0.637
0.681 0.500 0.137
0.354 0.000 0.994
0.354 0.500 0.494
0.010 0.000 0.268
0.010 0.500 0.768
```

Results
**Density of states at the Fermi level**: 8.47 states/eV per cell
**Space-group type**: Cm
**Energy above the lowest structure with this stoichiometry**: 149 meV per atom

Below is crystalline Zr2TcIr at its relaxed geometry, with properties calculated at the GGA-PBE level.

Geometry as POSCAR:
```
Zr2TcIr
1.0
2.865 0.000 0.000
0.000 2.865 0.000
0.000 0.000 8.939
Ir Tc Zr
1 1 2
Direct
0.000 0.000 0.529
0.500 0.500 0.717
0.000 0.000 0.975
0.500 0.500 0.280
```

Results
**Density of states at the Fermi level**: 4.34 states/eV per cell
**Space-group type**: P4mm

Below is crystalline ZrTcIr4 at its relaxed geometry, with properties calculated at the GGA-PBE level.

Geometry as POSCAR:
```
ZrTcIr4
1.0
0.000 3.662 3.662
3.662 0.000 3.662
3.662 3.662 0.000
Zr Tc Ir
1 1 4
Direct
0.000 0.000 0.000
0.750 0.750 0.750
0.873 0.376 0.376
0.376 0.376 0.873
0.376 0.873 0.376
0.376 0.376 0.376
```

Results
**Density of states at the Fermi level**: 10.07 states/eV per cell
**Space-group type**: F-43m

Below is crystalline ZrTcIr at its relaxed geometry, with properties calculated at the GGA-PBE level.

Geometry as POSCAR:
```
ZrTcIr
1.0
-0.352 -0.750 -3.714
3.916 -1.655 -0.037
-4.724 -11.235 2.717
Ir Tc Zr
4 4 4
Direct
0.000 0.000 0.636
0.000 0.500 0.136
0.000 0.000 0.298
0.000 0.500 0.798
0.000 0.000 0.953
0.000 0.500 0.453
0.500 0.000 0.802
0.500 0.500 0.302
0.500 0.000 0.146
0.500 0.500 0.646
0.500 0.000 0.456
0.500 0.500 0.956
```

Results
**Density of states at the Fermi level**: 13.38 states/eV per cell
**Space-group type**: Amm2
**Energy above the lowest structure with this stoichiometry**: 156 meV per atom

Below is crystalline Zr4TcIr at its relaxed geometry, with properties calculated at the GGA-PBE level.

Geometry as POSCAR:
```
Zr4TcIr
1.0
-0.921 -3.206 -3.131
-1.779 -2.673 3.261
-5.779 2.628 -0.996
Zr Tc Ir
4 1 1
Direct
0.501 0.997 0.247
0.501 0.998 0.750
0.001 0.498 0.750
0.001 0.497 0.247
0.501 0.497 0.998
0.001 0.997 0.498
```

Results
**Density of states at the Fermi level**: 7.03 states/eV per cell
**Space-group type**: P4/mmm
**Energy above the lowest structure with this stoichiometry**: 0 meV per atom

Below is crystalline Zr2TcIr at its relaxed geometry, with properties calculated at the GGA-PBE level.

Geometry as POSCAR:
```
Zr2TcIr
1.0
0.000 3.293 3.293
3.293 0.000 3.293
3.293 3.293 0.000
Ir Tc Zr
1 1 2
Direct
0.500 0.500 0.500
0.000 0.000 0.000
0.250 0.250 0.250
0.750 0.750 0.750
```

Results
**Density of states at the Fermi level**: 0.94 states/eV per cell
**Space-group type**: Fm-3m

These records have formation energy from the elements values of -1.16; -0.50; -0.62; -1.14; -1.55; -2.77 eV/f.u., in the order they appear.